[1]
A relaxed ZnI crystal, computed with GGA-PBE.

Values from the calculation:
crystal system: cubic
ΔE_f (raw): -119.9 meV per atom
N(E_F): 0.0173 states/eV/atom
symmetry: I-43m (217)

The structure in POSCAR format:
```
ZnI
1.0
8.7664 0.0000 0.0000
0.0000 8.7664 0.0000
0.0000 0.0000 8.7664
Zn I
8 8
direct
0.1098 0.1098 0.1098
0.1098 0.8902 0.8902
0.8902 0.1098 0.8902
0.8902 0.8902 0.1098
0.6098 0.6098 0.6098
0.6098 0.3902 0.3902
0.3902 0.6098 0.3902
0.3902 0.3902 0.6098
0.2835 0.2835 0.2835
0.2835 0.7165 0.7165
0.7165 0.2835 0.7165
0.7165 0.7165 0.2835
0.7835 0.7835 0.7835
0.7835 0.2165 0.2165
0.2165 0.7835 0.2165
0.2165 0.2165 0.7835
```

=====

[2]
A relaxed ZnI3 crystal, computed with GGA-PBE.

Values from the calculation:
crystal system: orthorhombic
ΔE_f (raw): -133.9 meV per atom
N(E_F): 1.0329 states/eV/atom
symmetry: Immm (71)

The structure in POSCAR format:
```
ZnI3
1.0
3.6322 0.0000 0.0000
0.0000 7.9969 0.0000
-1.8161 -3.9985 6.1928
I Zn
3 1
direct
0.3417 0.7583 0.6833
0.5000 0.4170 0.0000
0.6583 0.0750 0.3167
0.0000 0.9164 0.0000
```

=====

[3]
A relaxed ZnI crystal, computed with GGA-PBE.

Values from the calculation:
crystal system: cubic
ΔE_f (raw): 145.1 meV per atom
N(E_F): 1.1264 states/eV/atom
symmetry: Pm-3n (223)

The structure in POSCAR format:
```
ZnI
1.0
-2.2433 -5.3348 6.1937
-6.0972 -3.1860 -4.9525
5.4448 -5.7657 -2.9941
Zn I
6 6
direct
0.2500 0.0000 0.5000
0.7500 0.0000 0.5000
0.0000 0.5000 0.2500
0.0000 0.5000 0.7500
0.5000 0.2500 0.0000
0.5000 0.7500 0.0000
0.2500 0.5000 0.0000
0.7500 0.5000 0.0000
0.5000 0.0000 0.2500
0.5000 0.0000 0.7500
0.0000 0.2500 0.5000
0.0000 0.7500 0.5000
```

=====

[4]
A relaxed ZnI crystal, computed with GGA-PBE.

Values from the calculation:
crystal system: orthorhombic
ΔE_f (raw): -190.3 meV per atom
N(E_F): 0.5634 states/eV/atom
symmetry: Pmn2_1 (31)

The structure in POSCAR format:
```
ZnI
1.0
-12.2739 -3.3630 14.7464
3.0223 -2.1605 2.0229
1.9484 5.3964 2.8524
Zn I
6 6
direct
0.9011 0.2429 0.6313
0.5989 0.7571 0.1313
0.0989 0.2429 0.6313
0.4011 0.7571 0.1313
0.0000 0.2425 0.3869
0.5000 0.7575 0.8869
0.6812 0.2567 0.1885
0.8188 0.7433 0.6885
0.3188 0.2567 0.1885
0.1812 0.7433 0.6885
0.0000 0.2462 0.9755
0.5000 0.7538 0.4755
```

=====

[5]
A relaxed Zn6I crystal, computed with GGA-PBE.

Values from the calculation:
crystal system: cubic
ΔE_f (raw): 323.3 meV per atom
N(E_F): 0.4552 states/eV/atom
symmetry: Im-3m (229)

The structure in POSCAR format:
```
Zn6I
1.0
-4.3617 -0.5653 -4.4453
4.7893 -3.8109 -1.2823
-2.4595 -1.5348 5.5407
Zn I
6 1
direct
0.2500 0.7500 0.5000
0.5000 0.7500 0.2500
0.2500 0.5000 0.7500
0.7500 0.2500 0.5000
0.5000 0.2500 0.7500
0.7500 0.5000 0.2500
0.0000 0.0000 0.0000
```

=====

[6]
A relaxed Zn4I crystal, computed with GGA-PBE.

Values from the calculation:
crystal system: cubic
ΔE_f (raw): 770.0 meV per atom
N(E_F): 0.5495 states/eV/atom
symmetry: Pm-3m (221)

The structure in POSCAR format:
```
Zn4I
1.0
-1.0835 -3.1189 5.2809
-1.9411 -4.9126 -3.2997
5.8179 -2.2199 -0.1174
I Zn
1 4
direct
0.5000 0.5000 0.5000
0.0000 0.0000 0.0000
0.5000 0.0000 0.5000
0.0000 0.5000 0.5000
0.5000 0.5000 0.0000
```

=====

[7]
A relaxed ZnI crystal, computed with GGA-PBE.

Values from the calculation:
crystal system: tetragonal
ΔE_f (raw): -314.5 meV per atom
N(E_F): 0.0000 states/eV/atom
symmetry: P4_2/mnm (136)

The structure in POSCAR format:
```
ZnI
1.0
-7.4061 4.2409 3.5289
-3.1250 -8.0927 3.1671
2.0244 0.5992 3.5286
Zn I
4 4
direct
0.4097 0.5903 0.0000
0.9097 0.9097 0.5000
0.0903 0.0903 0.5000
0.5903 0.4097 0.0000
0.2237 0.2237 0.0000
0.7237 0.2763 0.5000
0.2763 0.7237 0.5000
0.7763 0.7763 0.0000
```

=====

[8]
A relaxed Zr3ZnI crystal, computed with GGA-PBE.

Values from the calculation:
crystal system: cubic
ΔE_f (raw): 603.2 meV per atom
energy above the most stable polymorph in this dataset: 0.000 eV/atom
N(E_F): 1.7937 states/eV/atom
symmetry: Pm-3m (221)

The structure in POSCAR format:
```
Zr3ZnI
1.0
5.0644 0.0000 0.0000
0.0000 5.0644 0.0000
0.0000 0.0000 5.0644
I Zn Zr
1 1 3
direct
0.5000 0.5000 0.5000
0.0000 0.0000 0.0000
0.0000 0.5000 0.0000
0.0000 0.0000 0.5000
0.5000 0.0000 0.0000
```

=====

- Which of these has the lowest ΔE_f (raw)?
  number 7

=====

- Look up the N(E_F) of the eighth one.
  1.7937 states/eV/atom